(1)
## CePr2TaN4 (GGA-PBE)

Data for crystalline CePr2TaN4 at its relaxed geometry.

a = 6.961 Å, b = 6.961 Å, c = 7.109 Å
α = 120.71°, β = 120.71°, γ = 89.75°
Fractional coordinates of all 16 atoms:
1 N 0.245 0.255 0.043
2 N 0.755 0.745 0.957
3 N 0.790 0.232 0.011
4 N 0.210 0.768 0.989
5 N 0.245 0.255 0.457
6 N 0.268 0.710 0.489
7 N 0.732 0.290 0.511
8 N 0.755 0.745 0.543
9 Pr 0.000 0.000 0.500
10 Pr 0.500 0.000 0.000
11 Pr 0.500 0.500 0.000
12 Pr 0.500 0.000 0.500
13 Ta 0.000 0.000 0.000
14 Ta 0.500 0.500 0.500
15 Ce 0.000 0.500 0.000
16 Ce 0.000 0.500 0.500

Results
- Total energy: -141.94 eV/cell
- Uncorrected formation energy: -1291 meV/atom

(2)
## BAs2PdSe (GGA-PBE)

Data for crystalline BAs2PdSe at its relaxed geometry.

a = 4.338 Å, b = 4.338 Å, c = 4.455 Å
α = 90.00°, β = 90.00°, γ = 90.00°
Fractional coordinates of all 5 atoms:
1 Se 0.000 0.000 0.500
2 Pd 0.500 0.500 0.500
3 B 0.000 0.000 0.000
4 As 0.500 0.000 0.000
5 As 0.000 0.500 0.000

Results
- Total energy: -21.20 eV/cell
- Uncorrected formation energy: 691 meV/atom
- E above lowest polymorph: 0.0 meV/atom

(3)
## RbReRu3 (GGA-PBE)

Data for crystalline RbReRu3 at its relaxed geometry.

a = 4.570 Å, b = 4.570 Å, c = 4.570 Å
α = 90.00°, β = 90.00°, γ = 90.00°
Fractional coordinates of all 5 atoms:
1 Re 0.500 0.500 0.500
2 Ru 0.000 0.000 0.500
3 Ru 0.500 0.000 0.000
4 Ru 0.000 0.500 0.000
5 Rb 0.000 0.000 0.000

Results
- Total energy: -23.33 eV/cell
- E above lowest polymorph: 2065.5 meV/atom

(4)
## ZrSc2P2 (GGA-PBE)

Data for crystalline ZrSc2P2 at its relaxed geometry.

a = 7.059 Å, b = 7.059 Å, c = 3.625 Å
α = 90.00°, β = 90.00°, γ = 90.00°
Fractional coordinates of all 10 atoms:
1 P 0.854 0.646 0.000
2 P 0.146 0.354 0.000
3 P 0.646 0.146 0.000
4 P 0.354 0.854 0.000
5 Sc 0.657 0.843 0.500
6 Sc 0.157 0.657 0.500
7 Sc 0.343 0.157 0.500
8 Sc 0.843 0.343 0.500
9 Zr 0.500 0.500 0.000
10 Zr 0.000 0.000 0.000

Results
- Total energy: -76.14 eV/cell

(5)
## SiIr2Pb (GGA-PBE)

Data for crystalline SiIr2Pb at its relaxed geometry.

a = 3.871 Å, b = 3.871 Å, c = 6.004 Å
α = 71.15°, β = 71.15°, γ = 60.11°
Fractional coordinates of all 4 atoms:
1 Ir 0.723 0.723 0.831
2 Ir 0.946 0.946 0.164
3 Pb 0.502 0.502 0.493
4 Si 0.330 0.330 0.013

Results
- Total energy: -27.33 eV/cell
- Uncorrected formation energy: -120 meV/atom
- E above lowest polymorph: 0.0 meV/atom

(6)
## In3GaBi (GGA-PBE)

Data for crystalline In3GaBi at its relaxed geometry.

a = 4.887 Å, b = 7.052 Å, c = 9.149 Å
α = 117.18°, β = 90.00°, γ = 90.00°
Fractional coordinates of all 10 atoms:
1 In 0.750 0.616 0.432
2 In 0.750 0.050 0.237
3 In 0.750 0.291 0.932
4 In 0.250 0.384 0.568
5 In 0.250 0.950 0.763
6 In 0.250 0.709 0.068
7 Bi 0.750 0.672 0.821
8 Bi 0.250 0.328 0.179
9 Ga 0.750 0.103 0.576
10 Ga 0.250 0.897 0.424

Results
- Total energy: -29.86 eV/cell
- E above lowest polymorph: 0.0 meV/atom

(7)
## Tm2HgPt (GGA-PBE)

Data for crystalline Tm2HgPt at its relaxed geometry.

a = 5.026 Å, b = 5.026 Å, c = 5.026 Å
α = 60.00°, β = 60.00°, γ = 60.00°
Fractional coordinates of all 4 atoms:
1 Hg 0.000 0.000 0.000
2 Tm 0.750 0.750 0.750
3 Tm 0.250 0.250 0.250
4 Pt 0.500 0.500 0.500

Results
- Total energy: -18.71 eV/cell
- E above lowest polymorph: 40.2 meV/atom

(8)
## Ho6GaC2S3 (GGA-PBE)

Data for crystalline Ho6GaC2S3 at its relaxed geometry.

a = 3.751 Å, b = 7.897 Å, c = 8.592 Å
α = 102.28°, β = 102.61°, γ = 90.00°
Fractional coordinates of all 12 atoms:
1 S 0.837 0.167 0.674
2 S 0.500 0.500 0.000
3 S 0.163 0.833 0.326
4 Ho 0.674 0.125 0.347
5 Ho 0.676 0.565 0.353
6 Ho 0.981 0.727 0.963
7 Ho 0.019 0.273 0.037
8 Ho 0.324 0.435 0.647
9 Ho 0.326 0.875 0.653
10 C 0.828 0.657 0.657
11 C 0.172 0.343 0.343
12 Ga 0.500 0.000 0.000

Results
- Total energy: -75.84 eV/cell
- Uncorrected formation energy: -1210 meV/atom